[1]
The following is a PBEsol calculation of a relaxed structure of Pr4C2Br5, from Alexandria.

Output
crystal system: monoclinic

abc: 9.822 9.822 8.182
angles: 106.02 106.02 22.90
Positions (direct):
1 Pr 0.000 0.000 0.205
2 Pr 0.000 0.000 0.795
3 Pr 0.339 0.339 0.886
4 Pr 0.661 0.661 0.114
5 C 0.462 0.462 0.973
6 C 0.538 0.538 0.027
7 Br 0.162 0.162 0.385
8 Br 0.166 0.166 0.837
9 Br 0.500 0.500 0.500
10 Br 0.834 0.834 0.163
11 Br 0.838 0.838 0.615

[2]
The following is a PBEsol calculation of a relaxed structure of Pr10C4Br15, from Alexandria.

Output
crystal system: triclinic

abc: 9.103 10.051 10.992
angles: 70.31 66.34 70.98
Positions (direct):
1 Pr 0.028 0.102 0.266
2 Pr 0.080 0.177 0.885
3 Pr 0.172 0.429 0.046
4 Pr 0.248 0.538 0.642
5 Pr 0.335 0.753 0.832
6 Pr 0.665 0.247 0.168
7 Pr 0.752 0.462 0.358
8 Pr 0.828 0.571 0.954
9 Pr 0.920 0.823 0.115
10 Pr 0.972 0.898 0.734
11 C 0.043 0.705 0.940
12 C 0.120 0.640 0.829
13 C 0.880 0.360 0.171
14 C 0.957 0.295 0.060
15 Br 0.055 0.556 0.298
16 Br 0.131 0.814 0.467
17 Br 0.235 0.907 0.062
18 Br 0.260 0.027 0.640
19 Br 0.338 0.165 0.221
20 Br 0.389 0.270 0.818
21 Br 0.452 0.366 0.413
22 Br 0.500 0.500 0.000
23 Br 0.548 0.634 0.587
24 Br 0.611 0.730 0.182
25 Br 0.662 0.835 0.779
26 Br 0.740 0.973 0.360
27 Br 0.765 0.093 0.938
28 Br 0.869 0.186 0.533
29 Br 0.945 0.444 0.702

[3]
The following is a PBEsol calculation of a relaxed structure of Pt2CBr, from Alexandria.

Output
crystal system: tetragonal

abc: 5.750 5.750 5.750
angles: 118.90 118.90 91.92
Positions (direct):
1 Pt 0.021 0.625 0.896
2 Pt 0.375 0.271 0.396
3 Pt 0.729 0.125 0.104
4 Pt 0.875 0.979 0.604
5 C 0.000 0.000 0.000
6 C 0.750 0.250 0.500
7 Br 0.250 0.750 0.500
8 Br 0.500 0.500 0.000

[4]
The following is a PBEsol calculation of a relaxed structure of PtC2Br2, from Alexandria.

Output
crystal system: tetragonal

abc: 7.056 7.056 3.316
angles: 90.00 90.00 90.00
Positions (direct):
1 Pt 0.000 0.000 0.000
2 Pt 0.500 0.500 0.000
3 C 0.216 0.284 0.500
4 C 0.284 0.784 0.500
5 C 0.716 0.216 0.500
6 C 0.784 0.716 0.500
7 Br 0.168 0.668 0.000
8 Br 0.332 0.168 0.000
9 Br 0.668 0.832 0.000
10 Br 0.832 0.332 0.000

Computed uncorrected formation energy (eV/atom) in order:
-1.38; -1.51; 0.60; 2.44
Computed DOS at the Fermi energy (states/eV per cell) in order:
2.6; 3.8; 5.0; 6.0